First-principles (PBE-GGA) data for crystalline GdPuSiPd at its relaxed geometry, as listed in the Alexandria database.

Cell: 5.0138 5.0138 5.0138 Å, 60.00 60.00 60.00°
Closest atoms and distances in Å follow each position.
Atoms (fractional coordinates):
1 Pd 0.2500 0.2500 0.2500  4 Gd 3.07, 4 Pu 3.07
2 Pu 0.5000 0.5000 0.5000  4 Si 3.07, 4 Pd 3.07
3 Gd 0.0000 0.0000 0.0000  4 Pd 3.07, 4 Si 3.07
4 Si 0.7500 0.7500 0.7500  4 Pu 3.07, 4 Gd 3.07

Calculated values
M_tot = 1.664 μB/cell
ΔE_f (raw) = -0.482 eV/atom

---

First-principles (PBE-GGA) data for crystalline SmDy2Tl3Se6 at its relaxed geometry, as listed in the Alexandria database.

Cell: 7.3008 7.3008 8.1425 Å, 98.60 98.60 119.99°
Closest atoms and distances in Å follow each position.
Atoms (fractional coordinates):
1 Se 0.2703 0.2703 0.7952  2 Dy 2.89, 1 Sm 2.94
2 Sm 0.0000 0.0000 0.0000  6 Se 2.94-2.95
3 Tl 0.5000 0.5000 0.5000  6 Se 3.32-3.35
4 Se 0.0687 0.4073 0.2059  2 Dy 2.90, 1 Sm 2.95
5 Dy 0.6667 0.3333 0.0000  6 Se 2.89-2.90
6 Se 0.5927 0.9313 0.7941  2 Dy 2.90, 1 Sm 2.95
7 Se 0.4073 0.0687 0.2059  2 Dy 2.90, 1 Sm 2.95
8 Tl 0.1656 0.8344 0.5000  6 Se 3.32-3.35
9 Se 0.9313 0.5927 0.7941  2 Dy 2.90, 1 Sm 2.95
10 Tl 0.8344 0.1656 0.5000  6 Se 3.32-3.35
11 Dy 0.3333 0.6667 0.0000  6 Se 2.89-2.90
12 Se 0.7297 0.7297 0.2048  2 Dy 2.89, 1 Sm 2.94

Calculated values
M_tot = 0.000 μB/cell
ΔE_f (raw) = -1.386 eV/atom